[1]
Er2MgAu6: relaxed, PBE.

Cell: 8.970 15.644 5.169 Å, 90.00 90.04 90.00°
Space group C2/c (No. 15)
Inequivalent atoms, fractional coordinates:
Er (0.250, 0.087, 0.000) (multiplicity 8)
Mg (0.000, 0.250, 0.250) (multiplicity 4)
Au (0.084, 0.084, 0.496) (multiplicity 8)
Au (0.084, 0.416, 0.496) (multiplicity 8)
Au (0.162, 0.250, 0.756) (multiplicity 8)

Uncorrected energy, eV/atom: -4.07
Calculated formation energy, eV per atom: -0.692
ρ, g/cm3: 14.1


[2]
La5Ho2Er4: relaxed, PBE.

Cell: 18.341 5.162 8.054 Å, 90.00 104.12 90.00°
Space group C2/m (No. 12)
Inequivalent atoms, fractional coordinates:
La (0.000, 0.000, 0.000) (multiplicity 2)
La (0.136, 0.500, 0.179) (multiplicity 4)
La (0.226, 0.500, 0.637) (multiplicity 4)
Ho (0.090, 0.000, 0.459) (multiplicity 4)
Er (0.043, 0.500, 0.720) (multiplicity 4)
Er (0.180, 0.000, 0.904) (multiplicity 4)

Uncorrected energy, eV/atom: -4.70
Calculated formation energy, eV per atom: 0.031
ρ, g/cm3: 7.6


[3]
CrHg2Cl: relaxed, PBE.

Cell: 5.497 9.403 3.610 Å, 90.00 90.00 90.00°
Space group Cmmm (No. 65)
Inequivalent atoms, fractional coordinates:
Cr (0.000, 0.000, 0.000) (multiplicity 2)
Hg (0.250, 0.250, 0.500) (multiplicity 4)
Cl (0.000, 0.500, 0.000) (multiplicity 2)

Uncorrected energy, eV/atom: -2.89
ρ, g/cm3: 8.7
Raw formation energy, kcal/mol of atoms: 3.02


[4]
Tb3Dy5Tl: relaxed, PBE.

Cell: 12.025 11.344 10.141 Å, 90.00 109.19 90.00°
Space group C2/m (No. 12)
Inequivalent atoms, fractional coordinates:
Tb (0.000, 0.000, 0.000) (multiplicity 2)
Tb (0.000, 0.500, 0.500) (multiplicity 2)
Tb (0.001, 0.000, 0.314) (multiplicity 4)
Tb (0.002, 0.500, 0.171) (multiplicity 4)
Dy (0.000, 0.232, 0.500) (multiplicity 4)
Dy (0.185, 0.241, 0.291) (multiplicity 8)
Dy (0.238, 0.000, 0.558) (multiplicity 4)
Dy (0.250, 0.000, 0.906) (multiplicity 4)
Tl (0.234, 0.500, 0.771) (multiplicity 4)

Uncorrected energy, eV/atom: -3.98
Calculated formation energy, eV per atom: 0.385
ρ, g/cm3: 7.6


[5]
PrSb6Rh12: relaxed, PBE.

Cell: 12.0424 12.0424 8.4727 Å, 90.00 90.00 120.00°
Space group R-3m (No. 166, hexagonal axes)
Inequivalent atoms, fractional coordinates:
Pr (0.0000, 0.0000, 0.0000) (multiplicity 3)
Sb (0.0415, 0.5208, 0.2544) (multiplicity 18)
Rh (0.0000, 0.3774, 0.5000) (multiplicity 18)
Rh (0.0775, 0.1550, 0.3239) (multiplicity 18)

Uncorrected energy, eV/atom: -6.51
ρ, g/cm3: 9.9
Raw formation energy, kcal/mol of atoms: -7.13


[6]
Nd3Er2Te8: relaxed, PBE.

Cell: 15.502 8.839 7.628 Å, 90.00 108.89 90.00°
Space group C2/m (No. 12)
Inequivalent atoms, fractional coordinates:
Nd (0.000, 0.000, 0.000) (multiplicity 2)
Nd (0.000, 0.259, 0.500) (multiplicity 4)
Er (0.250, 0.000, 0.833) (multiplicity 4)
Te (0.118, 0.500, 0.383) (multiplicity 4)
Te (0.126, 0.000, 0.423) (multiplicity 4)
Te (0.127, 0.248, 0.917) (multiplicity 8)

Uncorrected energy, eV/atom: -4.97
ρ, g/cm3: 6.0
Raw formation energy, kcal/mol of atoms: -28.42


[7]
ZnFeOs2: relaxed, PBE.

Cell: 2.7136 2.7136 26.0283 Å, 90.00 90.00 120.00°
Space group R3m (No. 160, hexagonal axes)
Inequivalent atoms, fractional coordinates:
Zn (0.0000, 0.0000, 0.0000) (multiplicity 3)
Fe (0.0000, 0.0000, 0.2517) (multiplicity 3)
Os (0.0000, 0.0000, 0.5036) (multiplicity 3)
Os (0.0000, 0.0000, 0.7540) (multiplicity 3)

Uncorrected energy, eV/atom: -7.88
Calculated formation energy, eV per atom: 0.169
ρ, g/cm3: 15.1


[8]
K2Sn5Pd3: relaxed, PBE.

Cell: 4.695 27.783 7.443 Å, 90.00 90.00 90.00°
Space group Cmc2_1 (No. 36)
Inequivalent atoms, fractional coordinates:
K (0.000, 0.020, 0.000) (multiplicity 4)
K (0.000, 0.323, 0.038) (multiplicity 4)
Sn (0.000, 0.101, 0.373) (multiplicity 4)
Sn (0.000, 0.206, 0.840) (multiplicity 4)
Sn (0.000, 0.210, 0.251) (multiplicity 4)
Sn (0.000, 0.376, 0.498) (multiplicity 4)
Sn (0.000, 0.444, 0.165) (multiplicity 4)
Pd (0.000, 0.110, 0.749) (multiplicity 4)
Pd (0.000, 0.277, 0.548) (multiplicity 4)
Pd (0.000, 0.440, 0.789) (multiplicity 4)

Uncorrected energy, eV/atom: -4.12
Calculated formation energy, eV per atom: -0.345
ρ, g/cm3: 6.8


[9]
Zr6TlHg5: relaxed, PBE.

Cell: 4.505 13.500 8.596 Å, 90.00 90.00 90.00°
Space group Cmmm (No. 65)
Inequivalent atoms, fractional coordinates:
Zr (0.000, 0.000, 0.248) (multiplicity 4)
Zr (0.000, 0.333, 0.249) (multiplicity 8)
Tl (0.000, 0.500, 0.500) (multiplicity 2)
Hg (0.000, 0.167, 0.000) (multiplicity 4)
Hg (0.000, 0.168, 0.500) (multiplicity 4)
Hg (0.000, 0.500, 0.000) (multiplicity 2)

Uncorrected energy, eV/atom: -4.76
Calculated formation energy, eV per atom: -0.160
ρ, g/cm3: 11.1


[10]
BaSr8Ca6: relaxed, PBE.

Cell: 11.1631 11.1631 23.6798 Å, 90.00 90.00 120.00°
Space group R-3 (No. 148, hexagonal axes)
Inequivalent atoms, fractional coordinates:
Ba (0.0000, 0.0000, 0.0000) (multiplicity 3)
Sr (0.0000, 0.0000, 0.3426) (multiplicity 6)
Sr (0.0009, 0.6643, 0.8810) (multiplicity 18)
Ca (0.0006, 0.6717, 0.7096) (multiplicity 18)

Uncorrected energy, eV/atom: -1.64
Calculated formation energy, eV per atom: 0.181
ρ, g/cm3: 2.1


[11]
InCuPd3: relaxed, PBE.

Cell: 4.616 4.616 4.616 Å, 90.00 90.00 90.00°
Space group Pm-3m (No. 221)
Inequivalent atoms, fractional coordinates:
In (0.000, 0.000, 0.000) (multiplicity 1)
Cu (0.500, 0.500, 0.500) (multiplicity 1)
Pd (0.000, 0.500, 0.500) (multiplicity 3)

Uncorrected energy, eV/atom: -4.12
Calculated formation energy, eV per atom: 0.366
ρ, g/cm3: 8.4


[12]
NdHfPd: relaxed, PBE.

Cell: 3.449 3.449 11.985 Å, 90.00 90.00 90.00°
Space group I4mm (No. 107)
Inequivalent atoms, fractional coordinates:
Nd (0.000, 0.000, 0.000) (multiplicity 2)
Hf (0.000, 0.000, 0.703) (multiplicity 2)
Pd (0.000, 0.000, 0.309) (multiplicity 2)

Uncorrected energy, eV/atom: -7.01
Calculated formation energy, eV per atom: -0.377
ρ, g/cm3: 10.0


[13]
Tb3Np4S8: relaxed, PBE.

Cell: 11.047 11.085 7.812 Å, 90.00 134.94 90.00°
Space group C2/m (No. 12)
Inequivalent atoms, fractional coordinates:
Tb (0.000, 0.000, 0.000) (multiplicity 2)
Tb (0.250, 0.250, 0.500) (multiplicity 4)
Np (0.000, 0.500, 0.000) (multiplicity 2)
Np (0.000, 0.500, 0.500) (multiplicity 2)
Np (0.250, 0.250, 0.000) (multiplicity 4)
S (0.000, 0.247, 0.500) (multiplicity 4)
S (0.000, 0.249, 0.000) (multiplicity 4)
S (0.248, 0.000, 0.997) (multiplicity 4)
S (0.250, 0.000, 0.502) (multiplicity 4)

Uncorrected energy, eV/atom: -8.22
ρ, g/cm3: 8.2
Raw formation energy, kcal/mol of atoms: -37.82


[14]
LaMg6B: relaxed, PBE.

Cell: 4.654 5.740 13.648 Å, 90.00 90.00 90.00°
Space group Amm2 (No. 38)
Inequivalent atoms, fractional coordinates:
La (0.000, 0.000, 0.000) (multiplicity 2)
Mg (0.000, 0.248, 0.750) (multiplicity 4)
Mg (0.500, 0.000, 0.165) (multiplicity 2)
Mg (0.500, 0.000, 0.588) (multiplicity 2)
Mg (0.500, 0.238, 0.382) (multiplicity 4)
B (0.000, 0.000, 0.405) (multiplicity 2)

Uncorrected energy, eV/atom: -2.43
Calculated formation energy, eV per atom: 0.216
ρ, g/cm3: 2.7


[15]
Hg2Rh2S: relaxed, PBE.

Cell: 8.197 8.197 2.838 Å, 90.00 90.00 90.00°
Space group P4/mbm (No. 127)
Inequivalent atoms, fractional coordinates:
Hg (0.177, 0.323, 0.000) (multiplicity 4)
Rh (0.118, 0.618, 0.500) (multiplicity 4)
S (0.000, 0.000, 0.000) (multiplicity 2)

Uncorrected energy, eV/atom: -3.33
ρ, g/cm3: 11.1
Raw formation energy, kcal/mol of atoms: 12.80


[16]
Li3Ag3Hg2: relaxed, PBE.

Cell: 7.3947 7.3947 3.0458 Å, 90.00 90.00 120.00°
Space group P-62m (No. 189)
Inequivalent atoms, fractional coordinates:
Li (0.0000, 0.3832, 0.0000) (multiplicity 3)
Ag (0.0000, 0.7739, 0.5000) (multiplicity 3)
Hg (0.3333, 0.6667, 0.5000) (multiplicity 2)

Uncorrected energy, eV/atom: -2.05
Calculated formation energy, eV per atom: -0.186
ρ, g/cm3: 8.6


[17]
Ac2Zn4AgAu3: relaxed, PBE.

Cell: 4.429 4.429 11.322 Å, 90.00 90.00 90.00°
Space group P-4m2 (No. 115)
Inequivalent atoms, fractional coordinates:
Ac (0.000, 0.500, 0.244) (multiplicity 2)
Zn (0.000, 0.000, 0.000) (multiplicity 1)
Zn (0.000, 0.500, 0.631) (multiplicity 2)
Zn (0.500, 0.500, 0.000) (multiplicity 1)
Ag (0.000, 0.000, 0.500) (multiplicity 1)
Au (0.000, 0.500, 0.865) (multiplicity 2)
Au (0.500, 0.500, 0.500) (multiplicity 1)

Uncorrected energy, eV/atom: -3.10
Calculated formation energy, eV per atom: -0.498
ρ, g/cm3: 10.6


[18]
MgCoRe: relaxed, PBE.

Cell: 5.707 5.707 5.707 Å, 90.00 90.00 90.00°
Space group F-43m (No. 216)
Inequivalent atoms, fractional coordinates:
Mg (0.000, 0.000, 0.000) (multiplicity 4)
Co (0.250, 0.250, 0.250) (multiplicity 4)
Re (0.000, 0.000, 0.500) (multiplicity 4)

Uncorrected energy, eV/atom: -6.56
Calculated formation energy, eV per atom: 0.486
ρ, g/cm3: 9.6


[19]
ZnAuI2N: relaxed, PBE.

Cell: 5.854 5.854 3.763 Å, 90.00 90.00 90.00°
Space group P4/mmm (No. 123)
Inequivalent atoms, fractional coordinates:
Zn (0.000, 0.000, 0.000) (multiplicity 1)
Au (0.500, 0.500, 0.500) (multiplicity 1)
I (0.000, 0.500, 0.000) (multiplicity 2)
N (0.000, 0.000, 0.500) (multiplicity 1)

Uncorrected energy, eV/atom: -2.40
ρ, g/cm3: 6.8
Raw formation energy, kcal/mol of atoms: 18.30


[20]
Li3Pu3CuSe8: relaxed, PBE.

Cell: 8.0200 8.0200 19.2576 Å, 90.00 90.00 120.00°
Space group R-3m (No. 166, hexagonal axes)
Inequivalent atoms, fractional coordinates:
Li (0.0000, 0.5000, 0.0000) (multiplicity 9)
Pu (0.0000, 0.5000, 0.5000) (multiplicity 9)
Cu (0.0000, 0.0000, 0.5000) (multiplicity 3)
Se (0.0000, 0.0000, 0.2529) (multiplicity 6)
Se (0.0157, 0.5078, 0.2465) (multiplicity 18)

Uncorrected energy, eV/atom: -6.47
ρ, g/cm3: 6.7
Raw formation energy, kcal/mol of atoms: -25.20